1.
Entry from the Alexandria database: a relaxed structure of Ta6Mn2Zn3O20 (GGA+U).

abc: 7.241 7.299 7.735
angles: 75.62 76.08 86.10
Element x y z (fractional)
Zn (0.593, 0.014, 0.993)
Zn (0.301, 0.316, 0.768)
Zn (0.839, 0.773, 0.745)
O (0.444, 0.237, 0.996)
O (0.913, 0.190, 0.419)
O (0.423, 0.684, 0.414)
O (0.549, 0.752, 0.009)
O (0.634, 0.893, 0.591)
O (0.126, 0.390, 0.591)
O (0.249, 0.975, 0.797)
O (0.142, 0.872, 0.204)
O (0.643, 0.383, 0.202)
O (0.756, 0.995, 0.195)
O (0.849, 0.101, 0.811)
O (0.919, 0.749, 0.983)
O (0.078, 0.234, 0.996)
O (0.743, 0.494, 0.799)
O (0.102, 0.784, 0.582)
O (0.892, 0.577, 0.419)
O (0.392, 0.074, 0.412)
O (0.588, 0.288, 0.591)
O (0.368, 0.589, 0.798)
O (0.266, 0.485, 0.202)
Ta (0.362, 0.831, 0.615)
Ta (0.168, 0.631, 0.385)
Ta (0.504, 0.499, 0.000)
Ta (0.843, 0.335, 0.625)
Ta (0.662, 0.144, 0.380)
Ta (0.026, 0.979, 0.997)
Mn (0.711, 0.662, 0.241)
Mn (0.188, 0.186, 0.240)

Calculated density = 7.4 Mg/m³
D(E_F) = 0.00 states/eV per cell
Volume = 12.40 Å³/atom
Raw total energy = -263.58 eV per cell



2.
Entry from the Alexandria database: a relaxed structure of TaMnZn2O6 (GGA+U).

abc: 7.604 5.282 5.468
angles: 84.58 90.00 90.00
Element x y z (fractional)
O (0.430, 0.302, 0.663)
O (0.750, 0.376, 0.925)
O (0.930, 0.698, 0.337)
O (0.060, 0.175, 0.171)
O (0.560, 0.825, 0.829)
O (0.440, 0.175, 0.171)
O (0.250, 0.869, 0.546)
O (0.070, 0.302, 0.663)
O (0.750, 0.131, 0.454)
O (0.940, 0.825, 0.829)
O (0.250, 0.624, 0.075)
O (0.570, 0.698, 0.337)
Zn (0.750, 0.992, 0.027)
Zn (0.250, 0.008, 0.973)
Zn (0.250, 0.502, 0.450)
Zn (0.750, 0.498, 0.550)
Ta (0.500, 0.000, 0.500)
Ta (0.000, 0.000, 0.500)
Mn (0.000, 0.500, 0.000)
Mn (0.500, 0.500, 0.000)

Calculated density = 7.0 Mg/m³
Volume = 10.93 Å³/atom
Raw total energy = -140.64 eV per cell



3.
Entry from the Alexandria database: a relaxed structure of TaMnZnO6 (GGA+U).

abc: 4.686 4.686 9.115
angles: 90.00 90.00 90.00
Element x y z (fractional)
O (0.687, 0.687, 0.996)
O (0.813, 0.187, 0.496)
O (0.302, 0.302, 0.679)
O (0.711, 0.711, 0.323)
O (0.289, 0.289, 0.323)
O (0.313, 0.313, 0.996)
O (0.187, 0.813, 0.496)
O (0.802, 0.198, 0.179)
O (0.211, 0.789, 0.823)
O (0.789, 0.211, 0.823)
O (0.198, 0.802, 0.179)
O (0.698, 0.698, 0.679)
Ta (0.000, 0.000, 0.667)
Ta (0.500, 0.500, 0.167)
Zn (0.000, 0.000, 0.001)
Zn (0.500, 0.500, 0.501)
Mn (0.500, 0.500, 0.835)
Mn (0.000, 0.000, 0.335)

Calculated density = 6.6 Mg/m³
D(E_F) = 11.37 states/eV per cell
Volume = 11.12 Å³/atom
Raw total energy = -131.97 eV per cell



4.
Entry from the Alexandria database: a relaxed structure of Ta2MnZnO (GGA+U).

abc: 4.747 4.572 4.747
angles: 90.00 90.00 90.00
Element x y z (fractional)
Ta (0.500, 0.000, 0.000)
Ta (0.000, 0.000, 0.500)
O (0.500, 0.500, 0.500)
Zn (0.000, 0.000, 0.000)
Mn (0.000, 0.500, 0.000)

Calculated density = 8.0 Mg/m³
D(E_F) = 6.07 states/eV per cell
Volume = 20.61 Å³/atom
Raw total energy = -28.74 eV per cell



5.
Entry from the Alexandria database: a relaxed structure of Ta2MnZn2O8 (GGA+U).

abc: 10.269 10.269 5.319
angles: 89.82 89.82 33.84
Element x y z (fractional)
O (0.717, 0.926, 0.430)
O (0.038, 0.818, 0.563)
O (0.567, 0.312, 0.595)
O (0.688, 0.433, 0.905)
O (0.818, 0.038, 0.063)
O (0.545, 0.844, 0.141)
O (0.433, 0.688, 0.405)
O (0.182, 0.962, 0.937)
O (0.962, 0.182, 0.437)
O (0.156, 0.455, 0.359)
O (0.926, 0.717, 0.930)
O (0.074, 0.283, 0.070)
O (0.844, 0.545, 0.641)
O (0.312, 0.567, 0.095)
O (0.455, 0.156, 0.859)
O (0.283, 0.074, 0.570)
Zn (0.566, 0.871, 0.770)
Zn (0.871, 0.566, 0.270)
Zn (0.129, 0.434, 0.730)
Zn (0.434, 0.129, 0.230)
Ta (0.274, 0.960, 0.269)
Ta (0.726, 0.040, 0.731)
Ta (0.040, 0.726, 0.231)
Ta (0.960, 0.274, 0.769)
Mn (0.346, 0.654, 0.750)
Mn (0.654, 0.346, 0.250)

Calculated density = 7.2 Mg/m³
D(E_F) = 0.00 states/eV per cell
Volume = 12.01 Å³/atom
Raw total energy = -205.29 eV per cell



6.
Entry from the Alexandria database: a relaxed structure of Ta4Mn2Zn3O16 (GGA+U).

abc: 5.211 5.922 10.083
angles: 75.64 89.22 87.73
Element x y z (fractional)
O (0.910, 0.934, 0.334)
O (0.581, 0.267, 0.658)
O (0.440, 0.970, 0.866)
O (0.640, 0.798, 0.636)
O (0.927, 0.208, 0.868)
O (0.944, 0.701, 0.887)
O (0.057, 0.316, 0.112)
O (0.576, 0.563, 0.107)
O (0.085, 0.070, 0.660)
O (0.156, 0.545, 0.614)
O (0.074, 0.803, 0.128)
O (0.419, 0.442, 0.892)
O (0.332, 0.154, 0.386)
O (0.551, 0.039, 0.134)
O (0.856, 0.478, 0.382)
O (0.412, 0.727, 0.347)
Zn (0.292, 0.881, 0.551)
Zn (0.230, 0.443, 0.426)
Zn (0.775, 0.538, 0.564)
Ta (0.263, 0.275, 0.770)
Ta (0.219, 0.048, 0.233)
Ta (0.738, 0.734, 0.236)
Ta (0.767, 0.954, 0.763)
Mn (0.252, 0.651, 0.001)
Mn (0.744, 0.354, 0.003)

Calculated density = 7.1 Mg/m³
Volume = 12.05 Å³/atom
Raw total energy = -200.93 eV per cell



7.
Entry from the Alexandria database: a relaxed structure of TaMnZn2O6 (GGA+U).

abc: 5.347 5.262 5.460
angles: 63.11 63.87 57.93
Element x y z (fractional)
O (0.943, 0.576, 0.289)
O (0.583, 0.200, 0.283)
O (0.070, 0.443, 0.783)
O (0.418, 0.684, 0.775)
O (0.232, 0.944, 0.242)
O (0.703, 0.092, 0.766)
Mn (0.816, 0.818, 0.550)
Zn (0.045, 0.054, 0.857)
Zn (0.541, 0.534, 0.412)
Ta (0.311, 0.317, 0.059)

Calculated density = 6.9 Mg/m³
Volume = 11.19 Å³/atom
Raw total energy = -70.75 eV per cell



8.
Entry from the Alexandria database: a relaxed structure of ZrTaMn2O8 (GGA+U).

abc: 4.745 4.745 6.197
angles: 90.00 90.00 91.16
Element x y z (fractional)
Ta (0.000, 0.000, 0.000)
O (0.307, 0.308, 0.000)
O (0.693, 0.692, 0.000)
O (0.196, 0.804, 0.763)
O (0.683, 0.683, 0.500)
O (0.196, 0.804, 0.237)
O (0.804, 0.196, 0.237)
O (0.317, 0.317, 0.500)
O (0.804, 0.196, 0.763)
Zr (0.000, 0.000, 0.500)
Mn (0.500, 0.500, 0.751)
Mn (0.500, 0.500, 0.249)

Calculated density = 6.1 Mg/m³
D(E_F) = 1.74 states/eV per cell
Volume = 11.63 Å³/atom
Raw total energy = -102.12 eV per cell



9.
Entry from the Alexandria database: a relaxed structure of Zr2TaMnO8 (GGA+U).

abc: 4.823 4.823 6.455
angles: 88.22 91.78 91.36
Element x y z (fractional)
O (0.823, 0.177, 0.247)
O (0.204, 0.796, 0.222)
O (0.296, 0.296, 0.500)
O (0.704, 0.704, 0.500)
O (0.702, 0.702, 0.000)
O (0.298, 0.298, 0.000)
O (0.177, 0.823, 0.753)
O (0.796, 0.204, 0.778)
Zr (0.495, 0.505, 0.746)
Zr (0.505, 0.495, 0.254)
Mn (0.000, 0.000, 0.500)
Ta (0.000, 0.000, 0.000)

Calculated density = 6.0 Mg/m³
Volume = 12.50 Å³/atom
Raw total energy = -109.51 eV per cell



10.
Entry from the Alexandria database: a relaxed structure of ZrTaMnO6 (GGA+U).

abc: 4.856 4.856 9.319
angles: 90.00 90.00 90.00
Element x y z (fractional)
O (0.190, 0.810, 0.490)
O (0.810, 0.190, 0.490)
O (0.687, 0.687, 0.666)
O (0.813, 0.187, 0.166)
O (0.313, 0.313, 0.666)
O (0.799, 0.201, 0.840)
O (0.187, 0.813, 0.166)
O (0.299, 0.299, 0.340)
O (0.201, 0.799, 0.840)
O (0.310, 0.310, 0.990)
O (0.690, 0.690, 0.990)
O (0.701, 0.701, 0.340)
Zr (0.000, 0.000, 0.669)
Zr (0.500, 0.500, 0.169)
Ta (0.000, 0.000, 0.337)
Ta (0.500, 0.500, 0.837)
Mn (0.000, 0.000, 0.002)
Mn (0.500, 0.500, 0.502)

Calculated density = 6.4 Mg/m³
Volume = 12.21 Å³/atom
Raw total energy = -162.46 eV per cell



11.
Entry from the Alexandria database: a relaxed structure of Tb3MnO7 (GGA+U).

abc: 6.423 6.423 7.382
angles: 90.00 90.00 108.76
Element x y z (fractional)
O (0.934, 0.692, 0.465)
O (0.932, 0.068, 0.250)
O (0.369, 0.631, 0.250)
O (0.364, 0.636, 0.750)
O (0.923, 0.678, 0.025)
O (0.636, 0.364, 0.250)
O (0.077, 0.322, 0.525)
O (0.066, 0.308, 0.965)
O (0.308, 0.066, 0.035)
O (0.631, 0.369, 0.750)
O (0.692, 0.934, 0.535)
O (0.678, 0.923, 0.975)
O (0.068, 0.932, 0.750)
O (0.322, 0.077, 0.475)
Tb (0.996, 0.540, 0.744)
Tb (0.004, 0.460, 0.244)
Tb (0.460, 0.004, 0.756)
Tb (0.467, 0.467, 0.500)
Tb (0.540, 0.996, 0.256)
Tb (0.533, 0.533, 0.000)
Mn (0.995, 0.995, 0.000)
Mn (0.005, 0.005, 0.500)

Calculated density = 7.4 Mg/m³
D(E_F) = 14.44 states/eV per cell
Volume = 13.11 Å³/atom
Raw total energy = -172.85 eV per cell



12.
Entry from the Alexandria database: a relaxed structure of TbMn2O6 (GGA+U).

abc: 4.905 5.012 5.012
angles: 120.00 90.00 90.00
Element x y z (fractional)
O (0.284, 0.366, 0.366)
O (0.284, 0.634, 0.000)
O (0.284, 0.000, 0.634)
O (0.716, 0.366, 0.000)
O (0.716, 0.000, 0.366)
O (0.716, 0.634, 0.634)
Mn (0.500, 0.333, 0.667)
Mn (0.500, 0.667, 0.333)
Tb (0.000, 0.000, 0.000)

Calculated density = 5.7 Mg/m³
D(E_F) = 5.67 states/eV per cell
Volume = 11.85 Å³/atom
Raw total energy = -66.06 eV per cell